Below is Pr6In2HN after structural relaxation, with properties calculated at the PBE level.

abc: 7.172 7.173 10.133
angles: 90.00 90.00 90.00
Sites, in units of the cell vectors:
Pr (0.500, 0.250, 0.244)
Pr (0.500, 0.250, 0.756)
Pr (0.000, 0.750, 0.256)
Pr (0.000, 0.750, 0.744)
Pr (0.244, 0.993, 0.500)
Pr (0.756, 0.993, 0.500)
Pr (0.244, 0.506, 0.500)
Pr (0.756, 0.506, 0.500)
Pr (0.744, 0.494, 0.000)
Pr (0.256, 0.494, 0.000)
Pr (0.256, 0.007, 0.000)
Pr (0.744, 0.007, 0.000)
In (0.500, 0.750, 0.250)
In (0.000, 0.250, 0.750)
In (0.500, 0.750, 0.750)
In (0.000, 0.250, 0.250)
H (0.500, 0.250, 0.500)
H (0.000, 0.750, 0.000)
N (0.000, 0.750, 0.500)
N (0.500, 0.250, 0.000)

Output
total moment: 0.001 μB/cell
D(E_F): 13.17 states/eV per cell
space group: No. 59
uncorrected energy: -103.82 eV/cell
volume: 521 Å³/cell

Below is RbInHN2 after structural relaxation, with properties calculated at the PBE level.

abc: 4.605 3.627 4.605
angles: 90.00 90.00 90.00
Sites, in units of the cell vectors:
H (0.000, 0.500, 0.000)
N (0.000, 0.000, 0.500)
N (0.500, 0.000, 0.000)
Rb (0.000, 0.000, 0.000)
In (0.500, 0.500, 0.500)

Output
total moment: 0.156 μB/cell
D(E_F): 2.35 states/eV per cell
space group: No. 123
uncorrected energy: -12.68 eV/cell
volume: 77 Å³/cell

Below is InHSN2 after structural relaxation, with properties calculated at the PBE level.

abc: 4.158 4.158 3.111
angles: 90.00 90.00 90.00
Sites, in units of the cell vectors:
H (0.000, 0.000, 0.000)
S (0.000, 0.000, 0.500)
N (0.000, 0.500, 0.000)
N (0.500, 0.000, 0.000)
In (0.500, 0.500, 0.500)

Output
total moment: 1.042 μB/cell
D(E_F): 2.42 states/eV per cell
space group: No. 123
polymorph energy (0 for the lowest one): 0.000 eV/atom
volume: 54 Å³/cell